# 1
Compound: Zn3Pd7
Source: Alexandria via LeMat-Bulk
Functional: PBE
Structure: relaxed

Computed properties:
Volume = 14.924 Å³ per atom
Formation energy from the elements = -0.384 eV per atom
Symmetry = C2/m

a = 7.1383 Å, b = 7.1383 Å, c = 5.4003 Å
α = 104.22°, β = 104.22°, γ = 34.14°
Sites, in units of the cell vectors:
Zn 0.0000 0.0000 0.0000
Zn 0.1931 0.1931 0.6528
Zn 0.8069 0.8069 0.3472
Pd 0.0000 0.0000 0.5000
Pd 0.2056 0.2056 0.1454
Pd 0.3814 0.3814 0.6239
Pd 0.4120 0.4120 0.1417
Pd 0.5880 0.5880 0.8583
Pd 0.6186 0.6186 0.3761
Pd 0.7944 0.7944 0.8546

=====

# 2
Compound: Cd2FeTc
Source: Alexandria via LeMat-Bulk
Functional: PBE
Structure: relaxed

Computed properties:
Volume = 17.068 Å³ per atom
Energy above the most stable polymorph in this dataset = 125 meV/atom
Formation energy from the elements = 0.318 eV per atom
Symmetry = Cmm2

a = 2.7858 Å, b = 2.7858 Å, c = 9.3731 Å
α = 90.00°, β = 90.00°, γ = 110.19°
Sites, in units of the cell vectors:
Cd 0.0000 0.0000 0.0000
Cd 0.5000 0.5000 0.2955
Fe 0.5000 0.5000 0.7545
Tc 0.0000 0.0000 0.5537